{
  "formula": "ZrCuHg",
  "functional": "GGA-PBE",
  "state": "optimized geometry",
  "lattice": [[-4.0595, -2.5267, -1.6382], [-2.5456, -2.7576, 3.3858], [1.6248, 4.6401, -1.1737]],
  "species": ["Hg", "Zr", "Cu"],
  "frac_coords": [[0.3340, 0.3340, 0.0000], [0.6648, 0.6648, 0.0000], [0.0011, 0.0011, 0.0000]],
  "dos_at_fermi_per_ev_atom": 0.580,
  "e_form_mev_per_atom": 30,
  "magmom_total_mub_per_fu": 0.00
}